KCoRu2, relaxed, DFT PBE; E_tot = -23.559 eV per formula unit; distance to the lowest polymorph of the same formula = 80.8 meV per atom; ΔH_f (0 K) = 799.0 meV/atom
1.0
-6.7563 -4.8212 -5.6326
-6.1701 -6.8877 -3.8869
-8.0804 -5.0029 -3.2086
Co K Ru
1 1 2
direct
0.5142 0.5142 0.5142 Co
0.7517 0.7517 0.7517 K
0.9854 0.9854 0.9854 Ru
0.2488 0.2488 0.2488 Ru

=====

KCoRu2, relaxed, DFT PBE; E_tot = -23.095 eV per formula unit; distance to the lowest polymorph of the same formula = 196.7 meV per atom; ΔH_f (0 K) = 914.9 meV/atom
1.0
-1.7448 -4.5945 2.3213
0.8114 -5.0952 1.7096
1.3713 0.3096 5.4768
Co K Ru
1 1 2
direct
0.7500 0.7500 0.7500 Co
0.2500 0.2500 0.2500 K
0.0449 0.0449 0.8944 Ru
0.4551 0.4551 0.6056 Ru

=====

KCoRu2, relaxed, DFT PBE; E_tot = -23.200 eV per formula unit; distance to the lowest polymorph of the same formula = 170.6 meV per atom; ΔH_f (0 K) = 888.9 meV/atom
1.0
2.7016 -0.0285 0.0000
-1.2100 2.4157 0.0000
0.0000 0.0000 9.9735
Co K Ru
1 1 2
direct
0.5000 0.5000 0.2500 Co
0.5000 0.5000 0.7500 K
0.0000 0.0000 0.0415 Ru
0.0000 0.0000 0.4585 Ru